[1]
Pm7Ho4Er: optimized geometry, GGA-PBE.

abc: 5.9646 9.7396 8.5908
angles: 61.02 69.69 72.17
Closest atoms and distances in Å follow each position.
Element x y z (fractional)
Pm 0.2107 0.1188 0.4599  6 Pm 3.30-3.68, 2 Ho 3.67
Pm 0.9164 0.4443 0.7228  3 Pm 3.29-3.68, 3 Ho 3.45-3.54
Pm 0.2097 0.7672 0.8133  1 Er 3.11, 4 Ho 3.21-3.48, 2 Pm 3.30-3.41
Pm 0.7893 0.8812 0.5401  6 Pm 3.30-3.68, 2 Ho 3.67
Pm 0.5000 0.0000 0.0000  2 Er 2.98
Pm 0.7903 0.2328 0.1867  1 Er 3.11, 4 Ho 3.21-3.48, 2 Pm 3.30-3.41
Pm 0.0836 0.5557 0.2772  3 Pm 3.29-3.68, 3 Ho 3.45-3.54
Ho 0.6720 0.6131 0.0430  7 Pm 3.21-3.54
Ho 0.5717 0.3020 0.5547  4 Pm 3.29-3.67, 2 Ho 3.39-3.65
Ho 0.3280 0.3869 0.9570  7 Pm 3.21-3.54
Ho 0.4283 0.6980 0.4453  4 Pm 3.29-3.67, 2 Ho 3.39-3.65
Er 0.0000 0.0000 0.0000  4 Pm 2.98-3.11

DOS(E_F)   18.990 states/eV per cell
DFT formation energy   222 meV/atom
Crystal system   monoclinic
SG   C2/m (12)

---

[2]
Be2GeBr: optimized geometry, GGA-PBE.

abc: 4.4461 4.4461 4.4461
angles: 60.00 60.00 60.00
Closest atoms and distances in Å follow each position.
Element x y z (fractional)
Be 0.7500 0.7500 0.7500  4 Br 2.72, 4 Ge 2.72
Be 0.2500 0.2500 0.2500  4 Ge 2.72, 4 Br 2.72
Br 0.5000 0.5000 0.5000  8 Be 2.72
Ge 0.0000 0.0000 0.0000  8 Be 2.72

DOS(E_F)   2.193 states/eV per cell
Crystal system   cubic
ΔE_f (raw)   3.91 eV/f.u.
SG   Fm-3m (225)

---

[3]
Ho2VSi4Pt3: optimized geometry, GGA-PBE.

abc: 4.1047 4.1047 10.2465
angles: 90.00 90.00 90.00
Closest atoms and distances in Å follow each position.
Element x y z (fractional)
Si 0.5000 0.5000 0.0000  4 Pt 2.43
Si 0.5000 0.0000 0.6367  3 Pt 2.42-2.49, 2 V 2.49
Si 0.0000 0.0000 0.0000  4 Pt 2.43
Si 0.0000 0.5000 0.3633  3 Pt 2.42-2.49, 2 V 2.49
Ho 0.0000 0.5000 0.7513  8 Si 3.13-3.27, 6 Pt 3.16-3.29, 2 V 3.29
Ho 0.5000 0.0000 0.2487  8 Si 3.13-3.27, 6 Pt 3.16-3.29, 2 V 3.29
V 0.5000 0.5000 0.5000  4 Si 2.49
Pt 0.0000 0.0000 0.5000  4 Si 2.49
Pt 0.0000 0.5000 0.1269  5 Si 2.42-2.43
Pt 0.5000 0.0000 0.8731  5 Si 2.42-2.43

DOS(E_F)   5.260 states/eV per cell
Crystal system   tetragonal
ΔE_f (raw)   -9.66 eV/f.u.
SG   P-4m2 (115)

---

[4]
CaAg3Hg6: optimized geometry, GGA-PBE.

abc: 8.8295 7.3074 8.0239
angles: 90.00 113.71 90.00
Closest atoms and distances in Å follow each position.
Element x y z (fractional)
Hg 0.6470 0.1915 0.9092  2 Ag 2.84-2.92, 3 Hg 3.02-3.05
Hg 0.8530 0.6915 0.5908  2 Ag 2.84-2.92, 3 Hg 3.02-3.05
Hg 0.3202 0.9430 0.4310  4 Ag 2.91-3.12, 3 Hg 3.02-3.05
Hg 0.2786 0.1403 0.8123  3 Ag 2.90-2.96, 3 Hg 3.05-3.21
Hg 0.7786 0.3597 0.3123  3 Ag 2.90-2.96, 3 Hg 3.05-3.21
Hg 0.8202 0.5570 0.9310  4 Ag 2.91-3.12, 3 Hg 3.02-3.05
Hg 0.3530 0.8085 0.0908  2 Ag 2.84-2.92, 3 Hg 3.02-3.05
Hg 0.7214 0.8597 0.1877  3 Ag 2.90-2.96, 3 Hg 3.05-3.21
Hg 0.2214 0.6403 0.6877  3 Ag 2.90-2.96, 3 Hg 3.05-3.21
Hg 0.6798 0.0570 0.5690  4 Ag 2.91-3.12, 3 Hg 3.02-3.05
Hg 0.1798 0.4430 0.0690  4 Ag 2.91-3.12, 3 Hg 3.02-3.05
Hg 0.1470 0.3085 0.4092  2 Ag 2.84-2.92, 3 Hg 3.02-3.05
Ag 0.0483 0.6835 0.2908  6 Hg 2.91-3.04, 1 Ag 2.99, 1 Ca 3.19
Ag 0.5483 0.8165 0.7908  6 Hg 2.91-3.04, 1 Ag 2.99, 1 Ca 3.19
Ag 0.0000 0.0000 0.5000  6 Hg 2.84-3.12, 2 Ag 2.99
Ag 0.4517 0.1835 0.2092  6 Hg 2.91-3.04, 1 Ag 2.99, 1 Ca 3.19
Ag 0.5000 0.5000 0.0000  6 Hg 2.84-3.12, 2 Ag 2.99
Ag 0.9517 0.3165 0.7092  6 Hg 2.91-3.04, 1 Ag 2.99, 1 Ca 3.19
Ca 0.0000 0.0000 0.0000  2 Ag 3.19, 8 Hg 3.22-3.55
Ca 0.5000 0.5000 0.5000  2 Ag 3.19, 8 Hg 3.22-3.55

DOS(E_F)   7.025 states/eV per cell
DFT formation energy   -69 meV/atom
Crystal system   monoclinic
SG   P2_1/c (14)

---

[5]
ZrV2Pd2: optimized geometry, GGA-PBE.

abc: 7.6170 7.6170 2.7685
angles: 90.00 90.00 90.00
Closest atoms and distances in Å follow each position.
Element x y z (fractional)
Zr 0.0000 0.0000 0.0000  2 Zr 2.77, 4 V 2.85
Zr 0.5000 0.5000 0.0000  2 Zr 2.77, 4 V 2.85
V 0.8376 0.6624 0.0000  6 Pd 2.59-2.66, 2 V 2.77, 2 Zr 2.85
V 0.3376 0.8376 0.0000  6 Pd 2.59-2.66, 2 V 2.77, 2 Zr 2.85
V 0.1624 0.3376 0.0000  6 Pd 2.59-2.66, 2 V 2.77, 2 Zr 2.85
V 0.6624 0.1624 0.0000  6 Pd 2.59-2.66, 2 V 2.77, 2 Zr 2.85
Pd 0.3662 0.1338 0.5000  6 V 2.59-2.66, 3 Pd 2.77-2.88
Pd 0.8662 0.3662 0.5000  6 V 2.59-2.66, 3 Pd 2.77-2.88
Pd 0.1338 0.6338 0.5000  6 V 2.59-2.66, 3 Pd 2.77-2.88
Pd 0.6338 0.8662 0.5000  6 V 2.59-2.66, 3 Pd 2.77-2.88

DOS(E_F)   12.628 states/eV per cell
DFT formation energy   -86 meV/atom
Crystal system   tetragonal
SG   P4/mbm (127)

---

[6]
Nd2Y4C: optimized geometry, GGA-PBE.

abc: 3.6197 3.6197 18.2502
angles: 84.31 84.31 60.00
Closest atoms and distances in Å follow each position.
Element x y z (fractional)
Nd 0.2457 0.2457 0.2628  3 Y 3.54, 6 Nd 3.62
Nd 0.7543 0.7543 0.7372  3 Y 3.54, 6 Nd 3.62
C 0.0000 0.0000 0.0000  6 Y 2.49
Y 0.3581 0.3581 0.9257  3 C 2.49
Y 0.6419 0.6419 0.0743  3 C 2.49
Y 0.1401 0.1401 0.5798  3 Nd 3.54, 9 Y 3.57-3.62
Y 0.8599 0.8599 0.4202  3 Nd 3.54, 9 Y 3.57-3.62

DOS(E_F)   7.130 states/eV per cell
DFT formation energy   -117 meV/atom
Crystal system   trigonal
SG   R-3m (166)

---

[7]
PrNd2Ag2Pb2: optimized geometry, GGA-PBE.

abc: 5.0021 5.0021 9.4662
angles: 74.68 74.68 60.00
Closest atoms and distances in Å follow each position.
Element x y z (fractional)
Pb 0.7327 0.7327 0.8018  3 Ag 3.07, 3 Pr 3.40
Pb 0.2673 0.2673 0.1982  3 Ag 3.07, 3 Pr 3.40
Pr 0.0000 0.0000 0.0000  6 Pb 3.40, 2 Nd 3.68
Nd 0.8640 0.8640 0.4080  3 Ag 3.01, 3 Nd 3.33
Nd 0.1360 0.1360 0.5920  3 Ag 3.01, 3 Nd 3.33
Ag 0.4378 0.4378 0.6866  3 Nd 3.01, 3 Pb 3.07, 1 Ag 3.36
Ag 0.5622 0.5622 0.3134  3 Nd 3.01, 3 Pb 3.07, 1 Ag 3.36

DOS(E_F)   3.087 states/eV per cell
DFT formation energy   -306 meV/atom
Crystal system   trigonal
SG   R-3m (166)

---

[8]
BeNi2W: optimized geometry, GGA-PBE.

abc: 7.8779 7.8779 7.8779
angles: 19.41 19.41 19.41
Closest atoms and distances in Å follow each position.
Element x y z (fractional)
Ni 0.4889 0.4889 0.4889  3 Be 2.27
Ni 0.0111 0.0111 0.0111  3 Be 2.27
W 0.2500 0.2500 0.2500  6 W 2.66, 6 Ni 2.67
Be 0.7500 0.7500 0.7500  6 Ni 2.27

DOS(E_F)   3.128 states/eV per cell
DFT formation energy   69 meV/atom
Crystal system   trigonal
SG   R-3m (166)

---

[9]
HfGaFe2: optimized geometry, GGA-PBE.

abc: 4.2454 4.1469 17.0010
angles: 90.00 90.00 90.00
Closest atoms and distances in Å follow each position.
Element x y z (fractional)
Fe 0.2500 0.7500 0.7500  2 Fe 2.12, 2 Ga 2.37
Fe 0.2500 0.2500 0.2500  2 Fe 2.12, 2 Ga 2.37
Fe 0.0000 0.5000 0.0000  2 Fe 2.07
Fe 0.5000 0.5000 0.5000  2 Fe 2.07
Fe 0.7500 0.7500 0.7500  2 Fe 2.12, 2 Ga 2.37
Fe 0.5000 0.0000 0.5000  2 Fe 2.07
Fe 0.0000 0.0000 0.0000  2 Fe 2.07
Fe 0.7500 0.2500 0.2500  2 Fe 2.12, 2 Ga 2.37
Hf 0.0000 0.7500 0.4149  4 Fe 2.77, 4 Ga 3.04
Hf 0.5000 0.2500 0.9148  4 Fe 2.77, 4 Ga 3.04
Hf 0.5000 0.7500 0.0852  4 Fe 2.77, 4 Ga 3.04
Hf 0.0000 0.2500 0.5851  4 Fe 2.77, 4 Ga 3.04
Ga 0.0000 0.2500 0.1252  4 Fe 2.37
Ga 0.5000 0.7500 0.6252  4 Fe 2.37
Ga 0.5000 0.2500 0.3748  4 Fe 2.37
Ga 0.0000 0.7500 0.8748  4 Fe 2.37

DOS(E_F)   10.489 states/eV per cell
DFT formation energy   502 meV/atom
Crystal system   orthorhombic
SG   Imma (74)

---

[10]
ScTlAgTe3: optimized geometry, GGA-PBE.

abc: 4.1386 9.1784 10.3555
angles: 110.19 90.00 90.00
Closest atoms and distances in Å follow each position.
Element x y z (fractional)
Te 0.7500 0.8847 0.1187  1 Ag 2.80, 2 Sc 2.93
Te 0.2500 0.7425 0.4556  3 Ag 2.84-2.91, 1 Sc 2.95
Te 0.7500 0.2575 0.5444  3 Ag 2.84-2.91, 1 Sc 2.95
Te 0.2500 0.1153 0.8813  1 Ag 2.80, 2 Sc 2.93
Te 0.2500 0.5536 0.8522  3 Sc 2.94-2.96
Te 0.7500 0.4464 0.1478  3 Sc 2.94-2.96
Tl 0.7500 0.7967 0.7493  7 Te 3.46-3.63
Tl 0.2500 0.2033 0.2507  7 Te 3.46-3.63
Sc 0.2500 0.6770 0.1563  6 Te 2.93-2.96
Sc 0.7500 0.3230 0.8437  6 Te 2.93-2.96
Ag 0.7500 0.9232 0.3991  4 Te 2.80-2.91, 2 Ag 2.93
Ag 0.2500 0.0768 0.6009  4 Te 2.80-2.91, 2 Ag 2.93

DOS(E_F)   3.574 states/eV per cell
Crystal system   monoclinic
ΔE_f (raw)   -3.67 eV/f.u.
SG   P2_1/m (11)

---

[11]
CrPdAu2: optimized geometry, GGA-PBE.

abc: 7.3541 7.3541 5.8678
angles: 51.20 51.20 90.00
Closest atoms and distances in Å follow each position.
Element x y z (fractional)
Cr 0.5000 0.5000 0.0000  4 Au 2.66, 2 Pd 2.72
Cr 0.2500 0.7500 0.5000  4 Au 2.66, 2 Pd 2.72
Au 0.8750 0.8700 0.7500  2 Cr 2.66, 2 Pd 2.71, 2 Au 2.72
Au 0.6200 0.1250 0.2500  2 Cr 2.66, 2 Pd 2.71, 2 Au 2.72
Au 0.3750 0.3800 0.7500  2 Cr 2.66, 2 Pd 2.71, 2 Au 2.72
Au 0.1300 0.6250 0.2500  2 Cr 2.66, 2 Pd 2.71, 2 Au 2.72
Pd 0.7500 0.2500 0.5000  4 Au 2.71, 2 Cr 2.72
Pd 0.0000 0.0000 0.0000  4 Au 2.71, 2 Cr 2.72

DOS(E_F)   5.740 states/eV per cell
DFT formation energy   294 meV/atom
Crystal system   tetragonal
SG   I-42d (122)